[1]
Compound: ReNiHg
Source: Alexandria via LeMat-Bulk
Functional: PBE
Structure: relaxed

Calculated values
Uncorrected energy: -5.26 eV/atom
Offset from the most stable computed form: 665.0 meV per atom
Energy relative to the elements: 0.921 eV per atom
Space group: F-43m, No. 216

Lattice parameters (Å, degrees): 4.165 4.165 4.165 60.00 60.00 60.00
Last column: magnetic moment on the atom in μB.
Positions (direct):
Hg: 0.500 0.500 0.500  -0.01
Ni: 0.750 0.750 0.750  0.25
Re: 0.000 0.000 0.000  0.73


[2]
Compound: Na2ZnCl
Source: Alexandria via LeMat-Bulk
Functional: PBE
Structure: relaxed

Calculated values
Uncorrected energy: -2.03 eV/atom
Offset from the most stable computed form: 0.0 meV per atom
Space group: I-42d, No. 122
Formation energy (no corrections): -0.586 eV/atom

Lattice parameters (Å, degrees): 7.804 7.804 6.712 54.45 54.45 90.00
Positions (direct):
Na: 0.578 0.125 0.250
Na: 0.172 0.625 0.250
Na: 0.375 0.422 0.750
Na: 0.875 0.828 0.750
Zn: 0.000 0.000 0.000
Zn: 0.750 0.250 0.500
Cl: 0.500 0.500 0.000
Cl: 0.250 0.750 0.500